# Ag2H2N, optimized geometry, DFT PBE-GGA
data_Ag2H2N
_cell_length_a 6.131
_cell_length_b 6.131
_cell_length_c 3.563
_cell_angle_alpha 90.00
_cell_angle_beta 90.00
_cell_angle_gamma 90.00
_symmetry_space_group_name_H-M 'P 1'
_symmetry_Int_Tables_number 1
loop_
_symmetry_equiv_pos_as_xyz
'x,y,z'
loop_
_atom_site_label
_atom_site_type_symbol
_atom_site_fract_x
_atom_site_fract_y
_atom_site_fract_z
H1 H 0.250 0.750 0.500
H2 H 0.750 0.750 0.500
H3 H 0.750 0.250 0.500
H4 H 0.250 0.250 0.500
Ag1 Ag 0.250 0.750 0.000
Ag2 Ag 0.750 0.750 0.000
Ag3 Ag 0.750 0.250 0.000
Ag4 Ag 0.250 0.250 0.000
N1 N 0.000 0.000 0.000
N2 N 0.500 0.500 0.000
# Uncorrected energy, eV per atom: -3.2064
# Energy above the most stable polymorph in this dataset, meV per atom: 0
# N(E_F), states/eV per cell: 2.23

---

# AgH2N, optimized geometry, DFT PBE-GGA
data_AgH2N
_cell_length_a 2.713
_cell_length_b 2.713
_cell_length_c 5.143
_cell_angle_alpha 74.71
_cell_angle_beta 74.71
_cell_angle_gamma 60.00
_symmetry_space_group_name_H-M 'P 1'
_symmetry_Int_Tables_number 1
loop_
_symmetry_equiv_pos_as_xyz
'x,y,z'
loop_
_atom_site_label
_atom_site_type_symbol
_atom_site_fract_x
_atom_site_fract_y
_atom_site_fract_z
H1 H 0.163 0.163 0.510
H2 H 0.837 0.837 0.490
Ag1 Ag 0.000 0.000 0.000
N1 N 0.500 0.500 0.500
# Uncorrected energy, eV per atom: -3.3689
# Energy above the most stable polymorph in this dataset, meV per atom: 463
# N(E_F), states/eV per cell: 0.97